Density functional theory data (GGA-PBE) for AlCdTcPt2 after structural relaxation.

Computed properties:
The value obtained for the electronic total energy is -23.05 eV for the cell shown. The magnetic moment is 3.4 Bohr magnetons per cell. As for the crystal system: tetragonal. As for the space group: No. 123.

Unit cell a=4.5675 b=4.8266 c=4.5675 alpha=90.00 beta=90.00 gamma=90.00
Fractional coordinates of all 5 atoms:
Al  0.0000  0.0000  0.0000
Tc  0.5000  0.5000  0.5000
Pt  0.0000  0.0000  0.5000
Pt  0.5000  0.0000  0.0000
Cd  0.0000  0.5000  0.0000

Density functional theory data (GGA-PBE) for ThAlCdPt3 after structural relaxation.

Computed properties:
The value obtained for the electronic total energy is -67.76 eV for the cell shown. The magnetic moment is 0.0 Bohr magnetons per cell. As for the crystal system: orthorhombic. As for the space group: No. 63.

Unit cell a=5.7908 b=7.1727 c=7.0999 alpha=120.34 beta=90.00 gamma=90.00
Fractional coordinates of all 12 atoms:
Th  0.7500  0.3078  0.6156
Th  0.2500  0.6922  0.3844
Al  0.2500  0.3809  0.7617
Al  0.7500  0.6191  0.2383
Cd  0.2500  0.9481  0.8961
Cd  0.7500  0.0519  0.1039
Pt  0.2500  0.1870  0.3740
Pt  0.0000  0.3033  0.0000
Pt  0.5000  0.6967  0.0000
Pt  0.5000  0.3033  0.0000
Pt  0.0000  0.6967  0.0000
Pt  0.7500  0.8130  0.6260

Density functional theory data (GGA-PBE) for Th2Al4CdPt3 after structural relaxation.

Computed properties:
The value obtained for the electronic total energy is -58.05 eV for the cell shown. The magnetic moment is 0.0 Bohr magnetons per cell. As for the crystal system: tetragonal. As for the space group: No. 115.

Unit cell a=4.3234 b=4.3234 c=10.6210 alpha=90.00 beta=90.00 gamma=90.00
Fractional coordinates of all 10 atoms:
Th  0.5000  0.0000  0.2434
Th  0.0000  0.5000  0.7566
Al  0.5000  0.5000  0.0000
Al  0.0000  0.0000  0.0000
Al  0.5000  0.0000  0.6407
Al  0.0000  0.5000  0.3593
Cd  0.5000  0.5000  0.5000
Pt  0.0000  0.0000  0.5000
Pt  0.5000  0.0000  0.8717
Pt  0.0000  0.5000  0.1283